# 1
# MgCuNiPd2 PBE optimized geometry
# * ΔE_f: 0.459 eV/atom
# * density: 6.50 g cm⁻³
data_MgCuNiPd2
_chemical_formula_sum 'Mg1 Cu1 Ni1 Pd2'
_cell_length_a 4.6223
_cell_length_b 4.6223
_cell_length_c 4.2958
_cell_angle_alpha 90.00
_cell_angle_beta 90.00
_cell_angle_gamma 90.00
_space_group_name_H-M_alt 'P 4/m m m'
_space_group_IT_number 123
_space_group_name_Hall '-P 4 2'
loop_
_atom_site_label
_atom_site_type_symbol
_atom_site_fract_x
_atom_site_fract_y
_atom_site_fract_z
Mg1 Mg 0.0000 0.0000 0.0000
Cu1 Cu 0.5000 0.5000 0.5000
Ni1 Ni 0.5000 0.5000 0.0000
Pd1 Pd 0.0000 0.5000 0.5000

# 2
# CdRh2 PBE optimized geometry
# * ΔE_f: 0.757 eV/atom
# * density: 9.17 g cm⁻³
data_CdRh2
_chemical_formula_sum 'Cd4 Rh8'
_cell_length_a 6.1309
_cell_length_b 6.1309
_cell_length_c 6.1309
_cell_angle_alpha 90.00
_cell_angle_beta 90.00
_cell_angle_gamma 90.00
_space_group_name_H-M_alt 'F m -3 m'
_space_group_IT_number 225
_space_group_name_Hall '-F 4 2 3'
loop_
_atom_site_label
_atom_site_type_symbol
_atom_site_fract_x
_atom_site_fract_y
_atom_site_fract_z
Cd1 Cd 0.0000 0.0000 0.0000
Rh1 Rh 0.2500 0.2500 0.2500

# 3
# CrFeMo PBE optimized geometry
# * ΔE to the lowest computed polymorph: 9 meV/atom
# * ΔE_f: 0.015 eV/atom
# * density: 8.98 g cm⁻³
data_CrFeMo
_chemical_formula_sum 'Cr4 Fe4 Mo4'
_cell_length_a 4.6696
_cell_length_b 4.8632
_cell_length_c 6.6371
_cell_angle_alpha 90.00
_cell_angle_beta 90.00
_cell_angle_gamma 90.00
_space_group_name_H-M_alt 'I m m a'
_space_group_IT_number 74
_space_group_name_Hall '-I 2b 2'
loop_
_atom_site_label
_atom_site_type_symbol
_atom_site_fract_x
_atom_site_fract_y
_atom_site_fract_z
Cr1 Cr 0.2500 0.2500 0.2500
Fe1 Fe 0.0000 0.0000 0.0000
Mo1 Mo 0.0000 0.2500 0.6225

# 4
# BeP2Rh PBE optimized geometry
# * ΔE_f: -0.075 eV/atom
# * density: 5.53 g cm⁻³
data_BeP2Rh
_chemical_formula_sum 'Be2 P4 Rh2'
_cell_length_a 7.3572
_cell_length_b 3.3008
_cell_length_c 4.3203
_cell_angle_alpha 90.00
_cell_angle_beta 95.46
_cell_angle_gamma 90.00
_space_group_name_H-M_alt 'C 1 2/m 1'
_space_group_IT_number 12
loop_
_space_group_symop_operation_xyz
'x,y,z'
'-x,-y,-z'
'-x,y,-z'
'x,-y,z'
'x+1/2,y+1/2,z'
'-x+1/2,-y+1/2,-z'
'-x+1/2,y+1/2,-z'
'x+1/2,-y+1/2,z'
loop_
_atom_site_label
_atom_site_type_symbol
_atom_site_fract_x
_atom_site_fract_y
_atom_site_fract_z
Be1 Be 0.0000 0.0000 0.0000
P1 P 0.2268 0.0000 0.7524
Rh1 Rh 0.0000 0.5000 0.5000

# 5
# Pm2HoPaSb5 PBE optimized geometry
# * density: 6.18 g cm⁻³
# * uncorrected formation energy: -0.165 eV/atom
data_Pm2HoPaSb5
_chemical_formula_sum 'Pm2 Ho1 Pa1 Sb5'
_cell_length_a 5.4777
_cell_length_b 5.4777
_cell_length_c 11.5924
_cell_angle_alpha 90.00
_cell_angle_beta 90.00
_cell_angle_gamma 90.00
_space_group_name_H-M_alt 'P 4/m m m'
_space_group_IT_number 123
_space_group_name_Hall '-P 4 2'
loop_
_atom_site_label
_atom_site_type_symbol
_atom_site_fract_x
_atom_site_fract_y
_atom_site_fract_z
Pm1 Pm 0.0000 0.0000 0.2243
Ho1 Ho 0.5000 0.5000 0.5000
Pa1 Pa 0.5000 0.5000 0.0000
Sb1 Sb 0.0000 0.0000 0.5000
Sb2 Sb 0.0000 0.5000 0.0000
Sb3 Sb 0.5000 0.5000 0.2541

# 6
# Th6Ru2C3Se PBE optimized geometry
# * density: 10.93 g cm⁻³
# * uncorrected formation energy: -0.516 eV/atom
data_Th6Ru2C3Se
_chemical_formula_sum 'Th12 Ru4 C6 Se2'
_cell_length_a 17.4556
_cell_length_b 3.8458
_cell_length_c 8.1258
_cell_angle_alpha 90.00
_cell_angle_beta 107.81
_cell_angle_gamma 90.00
_space_group_name_H-M_alt 'C 1 2/m 1'
_space_group_IT_number 12
loop_
_space_group_symop_operation_xyz
'x,y,z'
'-x,-y,-z'
'-x,y,-z'
'x,-y,z'
'x+1/2,y+1/2,z'
'-x+1/2,-y+1/2,-z'
'-x+1/2,y+1/2,-z'
'x+1/2,-y+1/2,z'
loop_
_atom_site_label
_atom_site_type_symbol
_atom_site_fract_x
_atom_site_fract_y
_atom_site_fract_z
Th1 Th 0.0025 0.0000 0.2774
Th2 Th 0.1540 0.5000 0.6163
Th3 Th 0.1794 0.5000 0.0914
Ru1 Ru 0.1885 0.0000 0.3794
C1 C 0.0000 0.5000 0.5000
C2 C 0.1572 0.0000 0.8521
Se1 Se 0.0000 0.5000 0.0000

# 7
# Tb12Pr5Pa3 PBE optimized geometry
# * ΔE_f: 1.135 eV/atom
# * density: 7.17 g cm⁻³
data_Tb12Pr5Pa3
_chemical_formula_sum 'Tb96 Pr40 Pa24'
_cell_length_a 18.2957
_cell_length_b 18.2957
_cell_length_c 18.2957
_cell_angle_alpha 90.00
_cell_angle_beta 90.00
_cell_angle_gamma 90.00
_space_group_name_H-M_alt 'I a -3 d'
_space_group_IT_number 230
_space_group_name_Hall '-I 4bd 2c 3'
loop_
_atom_site_label
_atom_site_type_symbol
_atom_site_fract_x
_atom_site_fract_y
_atom_site_fract_z
Tb1 Tb 0.0103 0.0859 0.6485
Pr1 Pr 0.0000 0.0000 0.0000
Pr2 Pr 0.0000 0.2500 0.3750
Pa1 Pa 0.0000 0.2500 0.1250

# 8
# CePm5Y PBE optimized geometry
# * ΔE_f: 0.907 eV/atom
# * density: 5.36 g cm⁻³
data_CePm5Y
_chemical_formula_sum 'Ce2 Pm10 Y2'
_cell_length_a 13.2050
_cell_length_b 8.6157
_cell_length_c 5.7750
_cell_angle_alpha 90.00
_cell_angle_beta 115.84
_cell_angle_gamma 90.00
_space_group_name_H-M_alt 'C 1 2/m 1'
_space_group_IT_number 12
loop_
_space_group_symop_operation_xyz
'x,y,z'
'-x,-y,-z'
'-x,y,-z'
'x,-y,z'
'x+1/2,y+1/2,z'
'-x+1/2,-y+1/2,-z'
'-x+1/2,y+1/2,-z'
'x+1/2,-y+1/2,z'
loop_
_atom_site_label
_atom_site_type_symbol
_atom_site_fract_x
_atom_site_fract_y
_atom_site_fract_z
Ce1 Ce 0.0000 0.0000 0.0000
Pm1 Pm 0.0000 0.0000 0.5000
Pm2 Pm 0.0000 0.3165 0.0000
Pm3 Pm 0.2423 0.0000 0.2419
Y1 Y 0.0000 0.5000 0.5000